Entry 1:
Below is an optimized crystal structure of NdGa3Sn3, with properties calculated at the PBE-GGA level.

a b c (Å): 7.515 7.515 7.515
angles (deg): 90.00 90.00 90.00
Element x y z (fractional)
Ga: 0.000 0.500 0.250
Ga: 0.000 0.500 0.750
Ga: 0.500 0.750 0.000
Ga: 0.250 0.000 0.500
Ga: 0.750 0.000 0.500
Ga: 0.500 0.250 0.000
Sn: 0.500 0.000 0.750
Sn: 0.000 0.750 0.500
Sn: 0.250 0.500 0.000
Sn: 0.000 0.250 0.500
Sn: 0.750 0.500 0.000
Sn: 0.500 0.000 0.250
Nd: 0.500 0.500 0.500
Nd: 0.000 0.000 0.000

Calculated values
The value obtained for the total energy is -3.489 eV/atom. As for the symmetry: Pm-3n, No. 223. The calculation puts the theoretical density at 5.553 g/cm³. The value obtained for the size of the total moment is 0.00 μB per formula unit.

---

Entry 2:
Below is an optimized crystal structure of AsAuSCl2, with properties calculated at the PBE-GGA level.

a b c (Å): 4.945 4.945 5.106
angles (deg): 90.00 90.00 90.00
Each line ends with the local moment (μB).
Element x y z (fractional)
Cl: 0.000 0.500 0.000  0.06
Cl: 0.500 0.000 0.000  0.06
Au: 0.000 0.000 0.500  0.14
As: 0.000 0.000 0.000  0.03
S: 0.500 0.500 0.500  1.03

Calculated values
As for the uncorrected formation energy: 0.409 eV per atom. The energy relative to the lowest polymorph listed for this composition is 54 kJ/mol of formula units. As for the symmetry: P4/mmm, No. 123. The calculation puts the theoretical density at 4.985 g/cm³. The value obtained for the size of the total moment is 2.03 μB per formula unit.

---

Entry 3:
Below is an optimized crystal structure of HoTiInAu, with properties calculated at the PBE-GGA level.

a b c (Å): 4.970 4.970 4.970
angles (deg): 60.00 60.00 60.00
Each line ends with the local moment (μB).
Element x y z (fractional)
Ti: 0.250 0.250 0.250  1.10
Au: 0.000 0.000 0.000  0.03
Ho: 0.750 0.750 0.750  0.13
In: 0.500 0.500 0.500  -0.01

Calculated values
The value obtained for the total energy is -4.963 eV/atom. As for the symmetry: F-43m, No. 216. The calculation puts the theoretical density at 10.035 g/cm³. The value obtained for the size of the total moment is 1.54 μB per formula unit.

---

Entry 4:
Below is an optimized crystal structure of Tb4Y3ErS8, with properties calculated at the PBE-GGA level.

a b c (Å): 7.831 7.836 7.831
angles (deg): 119.98 120.00 90.00
Element x y z (fractional)
Y: 0.000 0.500 0.500
Y: 0.500 0.500 0.000
Y: 0.500 0.500 0.500
S: 0.248 0.253 0.001
S: 0.750 0.749 0.499
S: 0.250 0.251 0.501
S: 0.752 0.747 0.999
S: 0.752 0.253 0.001
S: 0.248 0.747 0.999
S: 0.248 0.747 0.496
S: 0.752 0.253 0.504
Er: 0.000 0.500 0.000
Tb: 0.500 0.000 0.000
Tb: 0.000 0.000 0.500
Tb: 0.000 0.000 0.000
Tb: 0.500 0.000 0.500

Calculated values
As for the uncorrected formation energy: -1.993 eV per atom. As for the symmetry: R-3m, No. 166. The calculation puts the theoretical density at 6.478 g/cm³. The value obtained for the size of the total moment is 0.00 μB per formula unit.

---

Entry 5:
Below is an optimized crystal structure of YTlN2O, with properties calculated at the PBE-GGA level.

a b c (Å): 4.198 4.198 4.228
angles (deg): 90.00 90.00 90.00
Element x y z (fractional)
Y: 0.500 0.500 0.500
N: 0.000 0.500 0.000
N: 0.500 0.000 0.000
O: 0.000 0.000 0.500
Tl: 0.000 0.000 0.000

Calculated values
As for the uncorrected formation energy: 0.410 eV per atom. As for the symmetry: P4/mmm, No. 123. The calculation puts the theoretical density at 7.515 g/cm³. The value obtained for the size of the total moment is 0.00 μB per formula unit.

---

Entry 6:
Below is an optimized crystal structure of Ti20Co3B6, with properties calculated at the PBE-GGA level.

a b c (Å): 8.342 8.342 8.342
angles (deg): 60.00 60.00 60.00
Each line ends with the local moment (μB).
Element x y z (fractional)
Ti: 0.000 0.000 0.665  0.77
Ti: 0.129 0.624 0.624  0.04
Ti: 0.000 0.000 0.335  0.77
Ti: 0.624 0.624 0.129  0.04
Ti: 0.665 0.000 0.000  0.77
Ti: 0.335 0.665 0.000  0.77
Ti: 0.376 0.376 0.376  0.04
Ti: 0.871 0.376 0.376  0.04
Ti: 0.000 0.665 0.000  0.77
Ti: 0.624 0.624 0.624  0.04
Ti: 0.000 0.335 0.665  0.77
Ti: 0.000 0.335 0.000  0.77
Ti: 0.624 0.129 0.624  0.04
Ti: 0.335 0.000 0.665  0.77
Ti: 0.665 0.000 0.335  0.77
Ti: 0.376 0.871 0.376  0.04
Ti: 0.000 0.665 0.335  0.77
Ti: 0.665 0.335 0.000  0.77
Ti: 0.376 0.376 0.871  0.04
Ti: 0.335 0.000 0.000  0.77
Co: 0.750 0.750 0.750  0.07
Co: 0.250 0.250 0.250  0.07
Co: 0.000 0.000 0.000  -0.10
B: 0.720 0.280 0.280  -0.01
B: 0.280 0.280 0.720  -0.01
B: 0.720 0.720 0.280  -0.01
B: 0.280 0.720 0.720  -0.01
B: 0.280 0.720 0.280  -0.01
B: 0.720 0.280 0.720  -0.01

Calculated values
The value obtained for the total energy is -7.770 eV/atom. As for the symmetry: Fm-3m, No. 225. The calculation puts the theoretical density at 4.851 g/cm³. The value obtained for the size of the total moment is 12.06 μB per formula unit.

---

Entry 7:
Below is an optimized crystal structure of BePdSe, with properties calculated at the PBE-GGA level.

a b c (Å): 3.677 3.677 9.812
angles (deg): 90.00 90.00 120.00
Element x y z (fractional)
Se: 0.000 0.000 0.750
Se: 0.000 0.000 0.250
Pd: 0.000 0.000 0.000
Pd: 0.000 0.000 0.500
Be: 0.667 0.333 0.750
Be: 0.333 0.667 0.250

Calculated values
As for the uncorrected formation energy: -0.078 eV per atom. As for the symmetry: P6_3/mmc, No. 194. The calculation puts the theoretical density at 5.618 g/cm³. The value obtained for the size of the total moment is 0.00 μB per formula unit.

---

Entry 8:
Below is an optimized crystal structure of SrCoIr2, with properties calculated at the PBE-GGA level.

a b c (Å): 5.114 5.114 5.114
angles (deg): 133.03 133.03 68.60
Each line ends with the local moment (μB).
Element x y z (fractional)
Ir: 0.500 0.500 0.000  0.42
Ir: 0.000 0.000 0.000  0.42
Sr: 0.250 0.750 0.500  -0.02
Co: 0.750 0.250 0.500  1.90

Calculated values
The energy relative to the lowest polymorph listed for this composition is 277 kJ/mol of formula units. As for the symmetry: I4/mmm, No. 139. The calculation puts the theoretical density at 12.565 g/cm³. The value obtained for the size of the total moment is 2.68 μB per formula unit.